Record 1
This record from Alexandria describes a relaxed TlPbAu3 crystal. The functional is PBE.

Properties
Total magnetization in μB/atom: 0.000
Polymorph energy (0 for the lowest one) in eV per atom: 0.0000

Cell: 5.8980 7.0346 5.9592 Å, 90.00 104.40 90.00°
Closest atoms and distances in Å follow each position.
Space group P2_1/m (No. 11)
Inequivalent atoms, fractional coordinates:
Tl: 0.2443 0.2500 0.1701 [2 per cell]  4 Au 2.92-3.18
Pb: 0.1073 0.7500 0.4016 [2 per cell]  6 Au 2.93-3.26
Au: 0.2675 0.7500 0.9657 [2 per cell]  4 Au 2.87-2.90, 2 Tl 2.92-3.18, 1 Pb 2.98
Au: 0.3821 0.0503 0.6866 [4 per cell]  4 Au 2.81-2.99, 2 Pb 2.93-3.13, 1 Tl 3.02

Record 2
This record from Alexandria describes a relaxed NaPbI2Cl crystal. The functional is PBE.

Properties
Total magnetization in μB/atom: 0.000
Formation energy without anion corrections in eV per atom: -1.03

Cell: 4.5202 14.8972 10.1207 Å, 90.00 90.00 90.00°
Closest atoms and distances in Å follow each position.
Space group Cmcm (No. 63)
Inequivalent atoms, fractional coordinates:
Na: 0.0000 0.0000 0.0000 [4 per cell]  2 Cl 2.90, 4 I 3.19
Pb: 0.0000 0.2776 0.2500 [4 per cell]  2 Cl 2.94
I: 0.0000 0.3544 0.5606 [8 per cell]  2 Na 3.19, 3 Pb 3.35-3.56
Cl: 0.0000 0.0958 0.7500 [4 per cell]  2 Na 2.90, 2 Pb 2.94

Record 3
This record from Alexandria describes a relaxed Sm2SeI3 crystal. The functional is PBE.

Properties
Total magnetization in μB/atom: 0.066
Formation energy without anion corrections in eV per atom: -1.42

Cell: 18.3339 4.4243 12.6699 Å, 90.00 118.99 90.00°
Closest atoms and distances in Å follow each position.
Space group C2/m (No. 12)
Inequivalent atoms, fractional coordinates:
Sm: 0.0982 0.0000 0.4452 [4 per cell]  2 Se 2.86-2.88
Sm: 0.1493 0.5000 0.8184 [4 per cell]  2 Se 2.86, 1 I 3.17
Se: 0.0794 0.0000 0.6576 [4 per cell]  4 Sm 2.86-2.88
I: 0.0475 0.5000 0.2372 [4 per cell]  3 Sm 3.21-3.32
I: 0.1546 0.0000 0.0114 [4 per cell]  3 Sm 3.17-3.26
I: 0.2326 0.5000 0.6179 [4 per cell]  4 Sm 3.24-3.56

> What is the formula in the third record?

Sm2SeI3